No. 1
## UHOs (GGA-PBE)

Data for crystalline UHOs at its relaxed geometry.

**Total DFT energy (no corrections)**: -8.4093 eV per atom
**V**: 15.4 Å³ per atom
**Total moment**: 0.000 Bohr magnetons per cell

Unit cell a=3.6455 b=3.6455 c=24.1475 alpha=90.00 beta=90.00 gamma=120.00
Space group R-3m (No. 166, hexagonal axes)
Unique sites:
U: 0.0000 0.0000 0.2308 [6 per cell]
H: 0.0000 0.0000 0.1348 [6 per cell]
Os: 0.0000 0.0000 0.3692 [6 per cell]

No. 2
## VHOs3 (GGA-PBE)

Data for crystalline VHOs3 at its relaxed geometry.

**Relative energy among the computed polymorphs**: 0.131 eV per atom
**V**: 11.8 Å³ per atom
**Total moment**: 0.000 Bohr magnetons per cell

Unit cell a=3.891 b=3.891 c=3.891 alpha=90.00 beta=90.00 gamma=90.00
Space group Pm-3m (No. 221)
Unique sites:
V: 0.000 0.000 0.000 [1 per cell]
H: 0.500 0.500 0.500 [1 per cell]
Os: 0.000 0.500 0.500 [3 per cell]

No. 3
## VHOs3 (GGA-PBE)

Data for crystalline VHOs3 at its relaxed geometry.

**Relative energy among the computed polymorphs**: 2.540 eV per atom
**V**: 18.2 Å³ per atom
**Total moment**: 2.544 Bohr magnetons per cell

Unit cell a=4.497 b=4.497 c=4.497 alpha=90.00 beta=90.00 gamma=90.00
Space group Pm-3m (No. 221)
Unique sites:
V: 0.000 0.000 0.000 [1 per cell]
H: 0.500 0.500 0.500 [1 per cell]
Os: 0.000 0.000 0.500 [3 per cell]

No. 4
## VH2Os (GGA-PBE)

Data for crystalline VH2Os at its relaxed geometry.

**Relative energy among the computed polymorphs**: 0.557 eV per atom
**V**: 8.6 Å³ per atom
**Total moment**: 0.357 Bohr magnetons per cell

Unit cell a=5.163 b=5.163 c=5.163 alpha=90.00 beta=90.00 gamma=90.00
Space group Fm-3m (No. 225)
Unique sites:
V: 0.000 0.000 0.000 [4 per cell]
H: 0.250 0.250 0.250 [8 per cell]
Os: 0.000 0.000 0.500 [4 per cell]

No. 5
## V4HOs2 (GGA-PBE)

Data for crystalline V4HOs2 at its relaxed geometry.

**Total DFT energy (no corrections)**: -8.7955 eV per atom
**V**: 12.8 Å³ per atom
**Total moment**: 0.000 Bohr magnetons per cell

Unit cell a=3.631 b=3.631 c=13.620 alpha=90.00 beta=90.00 gamma=90.00
Space group I4/mmm (No. 139)
Unique sites:
V: 0.000 0.000 0.179 [4 per cell]
V: 0.000 0.500 0.000 [4 per cell]
H: 0.000 0.000 0.000 [2 per cell]
Os: 0.000 0.000 0.358 [4 per cell]

No. 6
## VHOs2 (GGA-PBE)

Data for crystalline VHOs2 at its relaxed geometry.

**Relative energy among the computed polymorphs**: 0.329 eV per atom
**V**: 12.1 Å³ per atom
**Total moment**: 0.000 Bohr magnetons per cell

Unit cell a=5.788 b=5.788 c=5.788 alpha=90.00 beta=90.00 gamma=90.00
Space group Fm-3m (No. 225)
Unique sites:
V: 0.000 0.000 0.000 [4 per cell]
H: 0.000 0.000 0.500 [4 per cell]
Os: 0.250 0.250 0.250 [8 per cell]

No. 7
## VHOs (GGA-PBE)

Data for crystalline VHOs at its relaxed geometry.

**Relative energy among the computed polymorphs**: 0.000 eV per atom
**V**: 11.3 Å³ per atom
**Total moment**: 0.000 Bohr magnetons per cell

Unit cell a=2.983 b=2.983 c=7.648 alpha=90.00 beta=90.00 gamma=90.00
Space group I4mm (No. 107)
Unique sites:
V: 0.000 0.000 0.000 [2 per cell]
H: 0.000 0.000 0.440 [2 per cell]
Os: 0.000 0.000 0.681 [2 per cell]

No. 8
## VHOs3 (GGA-PBE)

Data for crystalline VHOs3 at its relaxed geometry.

**Relative energy among the computed polymorphs**: 0.000 eV per atom
**V**: 11.7 Å³ per atom
**Total moment**: 0.000 Bohr magnetons per cell

Unit cell a=8.780 b=5.535 c=6.512 alpha=90.00 beta=132.36 gamma=90.00
Space group C2/m (No. 12)
Unique sites:
V: 0.056 0.000 0.339 [4 per cell]
H: 0.236 0.000 0.994 [4 per cell]
Os: 0.047 0.500 0.342 [4 per cell]
Os: 0.210 0.252 0.177 [8 per cell]

No. 9
## V3HOs (GGA-PBE)

Data for crystalline V3HOs at its relaxed geometry.

**Relative energy among the computed polymorphs**: 1.699 eV per atom
**V**: 21.1 Å³ per atom
**Total moment**: 6.116 Bohr magnetons per cell

Unit cell a=4.722 b=4.722 c=4.722 alpha=90.00 beta=90.00 gamma=90.00
Space group Pm-3m (No. 221)
Unique sites:
V: 0.000 0.000 0.500 [3 per cell]
H: 0.500 0.500 0.500 [1 per cell]
Os: 0.000 0.000 0.000 [1 per cell]

No. 10
## VHOs2 (GGA-PBE)

Data for crystalline VHOs2 at its relaxed geometry.

**Relative energy among the computed polymorphs**: 0.000 eV per atom
**V**: 11.5 Å³ per atom
**Total moment**: 0.000 Bohr magnetons per cell

Unit cell a=5.992 b=5.992 c=5.108 alpha=90.00 beta=90.00 gamma=90.00
Space group I-42d (No. 122)
Unique sites:
V: 0.000 0.000 0.000 [4 per cell]
H: 0.000 0.000 0.500 [4 per cell]
Os: 0.163 0.250 0.625 [8 per cell]

No. 11
## VHOs (GGA-PBE)

Data for crystalline VHOs at its relaxed geometry.

**Relative energy among the computed polymorphs**: 0.109 eV per atom
**V**: 14.9 Å³ per atom
**Total moment**: 0.000 Bohr magnetons per cell

Unit cell a=11.790 b=5.507 c=5.516 alpha=90.00 beta=90.00 gamma=90.00
Space group Cmce (No. 64)
Unique sites:
V: 0.124 0.000 0.000 [8 per cell]
H: 0.000 0.143 0.145 [8 per cell]
Os: 0.250 0.239 0.750 [8 per cell]

No. 12
## VH2Os (GGA-PBE)

Data for crystalline VH2Os at its relaxed geometry.

**Relative energy among the computed polymorphs**: 0.000 eV per atom
**V**: 8.5 Å³ per atom
**Total moment**: 0.000 Bohr magnetons per cell

Unit cell a=4.053 b=4.053 c=8.246 alpha=90.00 beta=90.00 gamma=90.00
Space group I-42d (No. 122)
Unique sites:
V: 0.000 0.000 0.000 [4 per cell]
H: 0.245 0.250 0.125 [8 per cell]
Os: 0.000 0.000 0.500 [4 per cell]